No. 1
# Cu4Si (meta-GGA SCAN, single point on PBEsol structure)
data_Cu4Si
_chemical_formula_sum 'Cu4 Si1'
_cell_length_a 3.6427
_cell_length_b 4.3582
_cell_length_c 4.3582
_cell_angle_alpha 79.94
_cell_angle_beta 65.30
_cell_angle_gamma 65.30
_space_group_name_H-M_alt 'P 1'
_space_group_IT_number 1
_space_group_name_Hall 'P 1'
loop_
_atom_site_label
_atom_site_type_symbol
_atom_site_fract_x
_atom_site_fract_y
_atom_site_fract_z
Cu1 Cu 0.6074 0.1938 0.5913
Cu2 Cu 0.3926 0.8062 0.4087
Cu3 Cu 0.1987 0.4087 0.1938
Cu4 Cu 0.8013 0.5913 0.8062
Si1 Si 0.0000 0.0000 0.0000
# Uncorrected formation energy in meV per atom: -70.6
# Density of states at the Fermi level in states/eV per atom: 0.25
# VASP energy in eV per atom: -14.23


No. 2
# Mg2BiBr (meta-GGA SCAN, single point on PBEsol structure)
data_Mg2BiBr
_chemical_formula_sum 'Mg2 Bi1 Br1'
_cell_length_a 5.1865
_cell_length_b 5.1865
_cell_length_c 5.1865
_cell_angle_alpha 60.00
_cell_angle_beta 60.00
_cell_angle_gamma 60.00
_space_group_name_H-M_alt 'P 1'
_space_group_IT_number 1
_space_group_name_Hall 'P 1'
loop_
_atom_site_label
_atom_site_type_symbol
_atom_site_fract_x
_atom_site_fract_y
_atom_site_fract_z
Mg1 Mg 0.2500 0.2500 0.2500
Mg2 Mg 0.7500 0.7500 0.7500
Br1 Br 0.0000 0.0000 0.0000
Bi1 Bi 0.5000 0.5000 0.5000
# Uncorrected formation energy in meV per atom: -332.7
# Density of states at the Fermi level in states/eV per atom: 0.19
# VASP energy in eV per atom: -27.33


No. 3
# MgAsO2 (meta-GGA SCAN, single point on PBEsol structure)
data_MgAsO2
_chemical_formula_sum 'Mg2 As2 O4'
_cell_length_a 4.6734
_cell_length_b 4.6734
_cell_length_c 6.0672
_cell_angle_alpha 112.65
_cell_angle_beta 112.65
_cell_angle_gamma 90.00
_space_group_name_H-M_alt 'P 1'
_space_group_IT_number 1
_space_group_name_Hall 'P 1'
loop_
_atom_site_label
_atom_site_type_symbol
_atom_site_fract_x
_atom_site_fract_y
_atom_site_fract_z
O1 O 0.6250 0.5960 0.7500
O2 O 0.4040 0.8750 0.2500
O3 O 0.1250 0.1540 0.7500
O4 O 0.8460 0.3750 0.2500
Mg1 Mg 0.5000 0.5000 0.0000
Mg2 Mg 0.7500 0.2500 0.5000
As1 As 0.0000 0.0000 0.0000
As2 As 0.2500 0.7500 0.5000
# Uncorrected formation energy in meV per atom: -1302.6
# Density of states at the Fermi level in states/eV per atom: 0.36
# VASP energy in eV per atom: -10.71


No. 4
# Ba2HfTePt (meta-GGA SCAN, single point on PBEsol structure)
data_Ba2HfTePt
_chemical_formula_sum 'Ba2 Hf1 Te1 Pt1'
_cell_length_a 5.1809
_cell_length_b 6.0985
_cell_length_c 6.0985
_cell_angle_alpha 90.00
_cell_angle_beta 90.00
_cell_angle_gamma 90.00
_space_group_name_H-M_alt 'P 1'
_space_group_IT_number 1
_space_group_name_Hall 'P 1'
loop_
_atom_site_label
_atom_site_type_symbol
_atom_site_fract_x
_atom_site_fract_y
_atom_site_fract_z
Pt1 Pt 0.5000 0.5000 0.5000
Ba1 Ba 0.0000 0.0000 0.5000
Ba2 Ba 0.0000 0.5000 0.0000
Te1 Te 0.5000 0.0000 0.0000
Hf1 Hf 0.0000 0.0000 0.0000
# Uncorrected formation energy in meV per atom: 406.6
# Density of states at the Fermi level in states/eV per atom: 1.04
# VASP energy in eV per atom: -49.44


No. 5
# LaInH2Pd (meta-GGA SCAN, single point on PBEsol structure)
data_LaInH2Pd
_chemical_formula_sum 'La1 In1 H2 Pd1'
_cell_length_a 4.0747
_cell_length_b 4.0747
_cell_length_c 6.5341
_cell_angle_alpha 90.00
_cell_angle_beta 90.00
_cell_angle_gamma 90.00
_space_group_name_H-M_alt 'P 1'
_space_group_IT_number 1
_space_group_name_Hall 'P 1'
loop_
_atom_site_label
_atom_site_type_symbol
_atom_site_fract_x
_atom_site_fract_y
_atom_site_fract_z
La1 La 0.0000 0.0000 0.0000
Pd1 Pd 0.5000 0.5000 0.5000
In1 In 0.0000 0.0000 0.5000
H1 H 0.5000 0.0000 0.0000
H2 H 0.0000 0.5000 0.0000
# Density of states at the Fermi level in states/eV per atom: 0.31
# VASP energy in eV per atom: -23.14


No. 6
# KNaCd3 (meta-GGA SCAN, single point on PBEsol structure)
data_KNaCd3
_chemical_formula_sum 'K1 Na1 Cd3'
_cell_length_a 6.0581
_cell_length_b 6.0581
_cell_length_c 6.0581
_cell_angle_alpha 90.00
_cell_angle_beta 90.00
_cell_angle_gamma 90.00
_space_group_name_H-M_alt 'P 1'
_space_group_IT_number 1
_space_group_name_Hall 'P 1'
loop_
_atom_site_label
_atom_site_type_symbol
_atom_site_fract_x
_atom_site_fract_y
_atom_site_fract_z
Cd1 Cd 0.5000 0.0000 0.0000
Cd2 Cd 0.0000 0.0000 0.5000
Cd3 Cd 0.0000 0.5000 0.0000
K1 K 0.0000 0.0000 0.0000
Na1 Na 0.5000 0.5000 0.5000
# Density of states at the Fermi level in states/eV per atom: 0.55
# VASP energy in eV per atom: -20.24
# Formation energy in eV per atom: 0.5166


> What is the VASP energy in the sixth record?

-20.24 eV per atom